First-principles (GGA-PBEsol) data for crystalline Co2AuF at its relaxed geometry, as listed in the Alexandria database.

For the volume, the calculation gives 12.692 Å³/atom. Its density of states at the Fermi level is 1.3011 states/eV/atom. Its total energy is -21.0 eV/f.u. The total magnetization is 4.157 μB/f.u.

CIF file:
```
data_Co2AuF
_cell_length_a 6.138
_cell_length_b 6.138
_cell_length_c 5.391
_cell_angle_alpha 90.00
_cell_angle_beta 90.00
_cell_angle_gamma 90.00
_space_group_name_H-M_alt 'I -4 2 d'
_space_group_IT_number 122
_space_group_name_Hall 'I -4 2bw'
loop_
_atom_site_label
_atom_site_type_symbol
_atom_site_fract_x
_atom_site_fract_y
_atom_site_fract_z
Co1 Co 0.186 0.750 0.125
Au1 Au 0.000 0.000 0.500
F1 F 0.000 0.000 0.000
```

First-principles (GGA-PBEsol) data for crystalline KCu3Te2 at its relaxed geometry, as listed in the Alexandria database.

For the volume, the calculation gives 22.287 Å³/atom. Its density of states at the Fermi level is 0.0267 states/eV/atom. Its total energy is -23.0 eV/f.u. The total magnetization is 0.000 μB/f.u.

CIF file:
```
data_KCu3Te2
_cell_length_a 15.958
_cell_length_b 4.185
_cell_length_c 8.614
_cell_angle_alpha 90.00
_cell_angle_beta 111.60
_cell_angle_gamma 90.00
_space_group_name_H-M_alt 'C 1 2/m 1'
_space_group_IT_number 12
_space_group_name_Hall '-C 2y'
loop_
_atom_site_label
_atom_site_type_symbol
_atom_site_fract_x
_atom_site_fract_y
_atom_site_fract_z
K1 K 0.137 0.000 0.050
Cu1 Cu 0.055 0.000 0.417
Cu2 Cu 0.081 0.500 0.602
Cu3 Cu 0.194 0.500 0.470
Te1 Te 0.023 0.500 0.233
Te2 Te 0.198 0.000 0.688
```

First-principles (GGA-PBEsol) data for crystalline NaZrCl2 at its relaxed geometry, as listed in the Alexandria database.

For the volume, the calculation gives 17.619 Å³/atom. Its density of states at the Fermi level is 0.6637 states/eV/atom. Its total energy is -17.1 eV/f.u. The total magnetization is 1.026 μB/f.u.

CIF file:
```
data_NaZrCl2
_cell_length_a 6.557
_cell_length_b 6.557
_cell_length_c 6.557
_cell_angle_alpha 90.00
_cell_angle_beta 90.00
_cell_angle_gamma 90.00
_space_group_name_H-M_alt 'F m -3 m'
_space_group_IT_number 225
_space_group_name_Hall '-F 4 2 3'
loop_
_atom_site_label
_atom_site_type_symbol
_atom_site_fract_x
_atom_site_fract_y
_atom_site_fract_z
Na1 Na 0.000 0.000 0.000
Zr1 Zr 0.000 0.000 0.500
Cl1 Cl 0.250 0.250 0.250
```

First-principles (GGA-PBEsol) data for crystalline HfTe2Br at its relaxed geometry, as listed in the Alexandria database.

For the volume, the calculation gives 23.914 Å³/atom. Its density of states at the Fermi level is 0.3022 states/eV/atom. Its total energy is -20.3 eV/f.u. The total magnetization is 0.000 μB/f.u.

CIF file:
```
data_HfTe2Br
_cell_length_a 7.260
_cell_length_b 7.260
_cell_length_c 7.260
_cell_angle_alpha 90.00
_cell_angle_beta 90.00
_cell_angle_gamma 90.00
_space_group_name_H-M_alt 'F m -3 m'
_space_group_IT_number 225
_space_group_name_Hall '-F 4 2 3'
loop_
_atom_site_label
_atom_site_type_symbol
_atom_site_fract_x
_atom_site_fract_y
_atom_site_fract_z
Hf1 Hf 0.000 0.000 0.000
Te1 Te 0.250 0.250 0.250
Br1 Br 0.000 0.000 0.500
```

- The highest total energy belongs to which entry?
  NaZrCl2